1.
Crystalline Sr2LaMo at its relaxed geometry, computed with GGA-PBE.

Cell: 5.4645 3.7682 6.8987 Å, 71.06 90.00 90.00°
With the nearest neighbours (Å) after each atom.
Sites, in units of the cell vectors:
La 0.5000 0.2500 0.2500  2 Mo 3.35, 4 Sr 3.75
Sr 0.0000 0.5727 0.5256  2 Sr 3.26-3.60, 2 Mo 3.31
Sr 0.0000 0.9273 0.9744  2 Sr 3.26-3.60, 2 Mo 3.31
Mo 0.5000 0.7500 0.7500  4 Sr 3.31, 2 La 3.35

Computed properties:
Distance to the lowest polymorph of the same formula ... 1.42 eV per formula unit
Crystal system ... monoclinic
Formation enthalpy at 0 K ... 84.51 kJ per mole of atoms
Mass density ... 5.07 g/cm³

***

2.
Crystalline LiRe2HgBr at its relaxed geometry, computed with GGA-PBE.

Cell: 5.1924 6.3122 5.1924 Å, 90.00 90.00 90.00°
With the nearest neighbours (Å) after each atom.
Sites, in units of the cell vectors:
Hg 0.0000 0.0000 0.0000  4 Re 2.60
Re 0.0000 0.0000 0.5000  2 Hg 2.60
Re 0.5000 0.0000 0.0000  2 Hg 2.60
Br 0.0000 0.5000 0.0000  2 Hg 3.16
Li 0.5000 0.5000 0.5000  4 Br 3.67, 8 Re 4.09

Computed properties:
Crystal system ... tetragonal
Formation energy without anion corrections ... 2.17 eV/atom
Mass density ... 6.44 g/cm³

***

3.
Crystalline LiCrPd6 at its relaxed geometry, computed with GGA-PBE.

Cell: 5.1959 5.1959 5.1959 Å, 86.24 86.24 86.24°
With the nearest neighbours (Å) after each atom.
Sites, in units of the cell vectors:
Pd 0.8334 0.4508 0.8334  1 Cr 2.52, 1 Li 2.56, 5 Pd 2.62-2.72
Pd 0.8334 0.8334 0.4508  1 Cr 2.52, 1 Li 2.56, 5 Pd 2.62-2.72
Pd 0.4508 0.8334 0.8334  1 Cr 2.52, 1 Li 2.56, 5 Pd 2.62-2.72
Cr 0.5000 0.5000 0.5000  6 Pd 2.52
Pd 0.1666 0.5492 0.1666  1 Cr 2.52, 1 Li 2.56, 5 Pd 2.62-2.72
Pd 0.5492 0.1666 0.1666  1 Cr 2.52, 1 Li 2.56, 5 Pd 2.62-2.72
Pd 0.1666 0.1666 0.5492  1 Cr 2.52, 1 Li 2.56, 5 Pd 2.62-2.72
Li 0.0000 0.0000 0.0000  6 Pd 2.56

Computed properties:
Distance to the lowest polymorph of the same formula ... 3.74 eV per formula unit
Crystal system ... trigonal
Formation enthalpy at 0 K ... 29.55 kJ per mole of atoms
Mass density ... 8.31 g/cm³